(1)
This record from Alexandria describes a relaxed Ba4BeNi crystal. The functional is PBE-GGA.

The structure belongs to space group F-43m (No. 216); the cell edges are 9.963, 9.963 and 9.963 Å and the angles 90.00°, 90.00° and 90.00°. Symmetry generates all atoms from Ba at (0.125, 0.125, 0.125), Be at (0.250, 0.250, 0.750) and Ni at (0.000, 0.000, 0.500).

The value obtained for the magnetization is 2.311 μB/cell. As for the energy relative to the elements: 1.147 eV/atom.

(2)
This record from Alexandria describes a relaxed NbSn2SbAs crystal. The functional is PBE-GGA.

The structure belongs to space group P4/mmm (No. 123); the cell edges are 5.497, 5.497 and 4.898 Å and the angles 90.00°, 90.00° and 90.00°. Symmetry generates all atoms from Nb at (0.000, 0.000, 0.000), Sn at (0.000, 0.500, 0.000), Sb at (0.500, 0.500, 0.500) and As at (0.000, 0.000, 0.500).

The value obtained for the magnetization is 0.008 μB/cell. The energy relative to the elements, uncorrected is 440 meV/atom.

(3)
This record from Alexandria describes a relaxed ZnGa2Pd8 crystal. The functional is PBE-GGA.

The structure belongs to space group C2/m (No. 12); the cell edges are 13.671, 4.130 and 6.233 Å and the angles 90.00°, 109.12° and 90.00°. Symmetry generates all atoms from Zn at (0.000, 0.000, 0.000), Ga at (0.214, 0.500, 0.661), Pd at (0.039, 0.500, 0.736), Pd at (0.102, 0.000, 0.464), Pd at (0.156, 0.500, 0.221) and Pd at (0.175, 0.000, 0.931).

The value obtained for the magnetization is 0.000 μB/cell. The calculation puts the excess energy over the best structure of this formula in the dataset at 0 meV/atom. As for the energy relative to the elements: -0.448 eV/atom.

(4)
This record from Alexandria describes a relaxed Pr5WN8 crystal. The functional is PBE-GGA.

The structure belongs to space group I-4 (No. 82); the cell edges are 7.418, 7.418 and 7.190 Å and the angles 90.00°, 90.00° and 90.00°. Symmetry generates all atoms from Pr at (0.000, 0.000, 0.000), Pr at (0.130, 0.755, 0.374), W at (0.000, 0.500, 0.750), N at (0.057, 0.651, 0.004) and N at (0.073, 0.796, 0.713).

The value obtained for the magnetization is 0.768 μB/cell. The energy relative to the elements, uncorrected is -623 meV/atom.

(5)
This record from Alexandria describes a relaxed ZnTeC3 crystal. The functional is PBE-GGA.

The structure belongs to space group Pm-3m (No. 221); the cell edges are 4.059, 4.059 and 4.059 Å and the angles 90.00°, 90.00° and 90.00°. Symmetry generates all atoms from Zn at (0.000, 0.000, 0.000), Te at (0.500, 0.500, 0.500) and C at (0.000, 0.000, 0.500).

The value obtained for the magnetization is 0.784 μB/cell. The calculation puts the excess energy over the best structure of this formula in the dataset at 0 meV/atom. The energy relative to the elements, uncorrected is 2817 meV/atom.

(6)
This record from Alexandria describes a relaxed NaHg4 crystal. The functional is PBE-GGA.

The structure belongs to space group Pm-3m (No. 221); the cell edges are 5.878, 5.878 and 5.878 Å and the angles 90.00°, 90.00° and 90.00°. Symmetry generates all atoms from Na at (0.000, 0.000, 0.000), Hg at (0.000, 0.000, 0.500) and Hg at (0.500, 0.500, 0.500).

The value obtained for the magnetization is 0.000 μB/cell. The calculation puts the excess energy over the best structure of this formula in the dataset at 235 meV/atom. As for the energy relative to the elements: 0.072 eV/atom.

(7)
This record from Alexandria describes a relaxed ZrGa2Cl6 crystal. The functional is PBE-GGA.

The structure belongs to space group P2_1/c (No. 14); the cell edges are 6.987, 7.765 and 12.032 Å and the angles 90.00°, 120.50° and 90.00°. Symmetry generates all atoms from Zr at (0.000, 0.000, 0.000), Ga at (0.322, 0.096, 0.794), Cl at (0.083, 0.067, 0.223), Cl at (0.239, 0.740, 0.082) and Cl at (0.333, 0.171, 0.037).

The value obtained for the magnetization is 0.000 μB/cell. The energy relative to the elements, uncorrected is -1338 meV/atom.

(8)
This record from Alexandria describes a relaxed NdHo12Sc6 crystal. The functional is PBE-GGA.

The structure belongs to space group R-3m (No. 166, hexagonal axes); the cell edges are 14.4922, 14.4922 and 9.9124 Å and the angles 90.00°, 90.00° and 120.00°. Symmetry generates all atoms from Nd at (0.0000, 0.0000, 0.0000), Ho at (0.0000, 0.3875, 0.5000), Ho at (0.0754, 0.1508, 0.3027) and Sc at (0.0553, 0.5276, 0.2204).

The value obtained for the magnetization is 0.004 μB/cell. The calculation puts the excess energy over the best structure of this formula in the dataset at 179 meV/atom. As for the energy relative to the elements: 0.425 eV/atom.

(9)
This record from Alexandria describes a relaxed CdSn2HgCl crystal. The functional is PBE-GGA.

The structure belongs to space group P4/mmm (No. 123); the cell edges are 5.584, 5.584 and 5.575 Å and the angles 90.00°, 90.00° and 90.00°. Symmetry generates all atoms from Cd at (0.000, 0.000, 0.000), Sn at (0.000, 0.500, 0.500), Hg at (0.500, 0.500, 0.500) and Cl at (0.500, 0.500, 0.000).

The value obtained for the magnetization is 0.000 μB/cell. The energy relative to the elements, uncorrected is 314 meV/atom.

(10)
This record from Alexandria describes a relaxed BaZnOs crystal. The functional is PBE-GGA.

The structure belongs to space group F-43m (No. 216); the cell edges are 7.319, 7.319 and 7.319 Å and the angles 90.00°, 90.00° and 90.00°. Symmetry generates all atoms from Ba at (0.000, 0.000, 0.000), Zn at (0.250, 0.250, 0.250) and Os at (0.250, 0.250, 0.750).

The value obtained for the magnetization is 8.238 μB/cell. The calculation puts the excess energy over the best structure of this formula in the dataset at 1172 meV/atom. As for the energy relative to the elements: 1.657 eV/atom.

(11)
This record from Alexandria describes a relaxed KBaNaCa crystal. The functional is PBE-GGA.

The structure belongs to space group F-43m (No. 216); the cell edges are 9.392, 9.392 and 9.392 Å and the angles 90.00°, 90.00° and 90.00°. Symmetry generates all atoms from K at (0.000, 0.000, 0.000), Ba at (0.250, 0.250, 0.250), Na at (0.000, 0.000, 0.500) and Ca at (0.250, 0.250, 0.750).

The value obtained for the magnetization is 0.000 μB/cell. As for the energy relative to the elements: 0.138 eV/atom.

(12)
This record from Alexandria describes a relaxed Ce2YSb3Rh4 crystal. The functional is PBE-GGA.

The structure belongs to space group P-4m2 (No. 115); the cell edges are 4.346, 4.346 and 11.644 Å and the angles 90.00°, 90.00° and 90.00°. Symmetry generates all atoms from Ce at (0.000, 0.500, 0.232), Y at (0.000, 0.000, 0.500), Sb at (0.000, 0.500, 0.870), Sb at (0.500, 0.500, 0.500), Rh at (0.000, 0.000, 0.000), Rh at (0.000, 0.500, 0.650) and Rh at (0.500, 0.500, 0.000).

The value obtained for the magnetization is 1.792 μB/cell. The energy relative to the elements, uncorrected is -815 meV/atom.

What is the magnetization in the eighth record? 0.004 μB/cell

The highest magnetization belongs to which entry? BaZnOs